Record 1
# ScNi4As2, PBEsol geometry, DFT SCAN
# **ΔH_f (0 K)**: -0.64 eV/atom
# **Symmetry**: P4_2/mnm, No. 136
data_ScNi4As2
_cell_length_a 3.7124
_cell_length_b 6.9901
_cell_length_c 6.9901
_cell_angle_alpha 90.00
_cell_angle_beta 90.00
_cell_angle_gamma 90.00
_space_group_name_H-M_alt 'P 1'
_space_group_IT_number 1
loop_
_space_group_symop_operation_xyz
'x,y,z'
loop_
_atom_site_label
_atom_site_type_symbol
_atom_site_fract_x
_atom_site_fract_y
_atom_site_fract_z
Sc1 Sc 0.0000 0.5000 0.5000
Sc2 Sc 0.5000 0.0000 0.0000
Ni1 Ni 0.5000 0.5905 0.1543
Ni2 Ni 0.5000 0.4095 0.8457
Ni3 Ni 0.0000 0.0905 0.3457
Ni4 Ni 0.0000 0.9095 0.6543
Ni5 Ni 0.5000 0.1543 0.5905
Ni6 Ni 0.5000 0.8457 0.4095
Ni7 Ni 0.0000 0.3457 0.0905
Ni8 Ni 0.0000 0.6543 0.9095
As1 As 0.5000 0.7170 0.7170
As2 As 0.5000 0.2830 0.2830
As3 As 0.0000 0.2170 0.7830
As4 As 0.0000 0.7830 0.2170

Record 2
# Sc3NiAs, PBEsol geometry, DFT SCAN
# **ΔH_f (0 K)**: 0.01 eV/atom
# **Symmetry**: Pm-3m, No. 221
data_Sc3NiAs
_cell_length_a 4.9086
_cell_length_b 4.9086
_cell_length_c 4.9086
_cell_angle_alpha 90.00
_cell_angle_beta 90.00
_cell_angle_gamma 90.00
_space_group_name_H-M_alt 'P 1'
_space_group_IT_number 1
loop_
_space_group_symop_operation_xyz
'x,y,z'
loop_
_atom_site_label
_atom_site_type_symbol
_atom_site_fract_x
_atom_site_fract_y
_atom_site_fract_z
Sc1 Sc 0.0000 0.5000 0.0000
Sc2 Sc 0.0000 0.0000 0.5000
Sc3 Sc 0.5000 0.0000 0.0000
Ni1 Ni 0.5000 0.5000 0.5000
As1 As 0.0000 0.0000 0.0000

Record 3
# ScNiAs4, PBEsol geometry, DFT SCAN
# **ΔH_f (0 K)**: 0.24 eV/atom
# **Symmetry**: F-43m, No. 216
data_ScNiAs4
_cell_length_a 5.3636
_cell_length_b 5.3636
_cell_length_c 5.3636
_cell_angle_alpha 60.00
_cell_angle_beta 60.00
_cell_angle_gamma 60.00
_space_group_name_H-M_alt 'P 1'
_space_group_IT_number 1
loop_
_space_group_symop_operation_xyz
'x,y,z'
loop_
_atom_site_label
_atom_site_type_symbol
_atom_site_fract_x
_atom_site_fract_y
_atom_site_fract_z
As1 As 0.3764 0.3764 0.3764
As2 As 0.3764 0.3764 0.8708
As3 As 0.8708 0.3764 0.3764
As4 As 0.3764 0.8708 0.3764
Ni1 Ni 0.7500 0.7500 0.7500
Sc1 Sc 0.0000 0.0000 0.0000